# MnTl2MoO6 | Alexandria | PBE+U | optimized geometry
# E (eV for the cell shown): -60.2
data_MnTl2MoO6
_space_group_name_H-M_alt 'P -3 m 1'
_space_group_IT_number 164
_space_group_name_Hall '-P 3 2"'
_cell_length_a 6.2139
_cell_length_b 6.2139
_cell_length_c 5.1553
_cell_angle_alpha 90.00
_cell_angle_beta 90.00
_cell_angle_gamma 120.00
loop_
_atom_site_label
_atom_site_type_symbol
_atom_site_fract_x
_atom_site_fract_y
_atom_site_fract_z
Mn1 Mn 0.0000 0.0000 0.0000
Tl1 Tl 0.3333 0.6667 0.1617
Mo1 Mo 0.0000 0.0000 0.5000
O1 O 0.1371 0.2742 0.7504